# La4PtCCl2

La4PtCCl2 after structural relaxation (GGA-PBE, Alexandria).

Its total energy is -5.9940 eV per atom. For the formation energy without anion corrections, the calculation gives -1.1605 eV/atom. Its volume is 26.23 Å³ per atom.

a b c (Å): 7.3496 3.9848 7.5403
angles (deg): 90.00 108.17 90.00
Closest atoms and distances in Å follow each position.
Space group P2/m (No. 10)
Unique sites:
La 0.2073 0.0000 0.2047 [2 per cell]  2 C 2.68
La 0.2398 0.5000 0.7901 [2 per cell]  1 C 2.71, 2 Pt 2.87
Pt 0.5000 0.0000 0.0000 [1 per cell]  6 La 2.87-3.01
C 0.0000 0.5000 0.0000 [1 per cell]  6 La 2.68-2.71
Cl 0.0000 0.0000 0.5000 [1 per cell]  6 La 3.07-3.08
Cl 0.5000 0.5000 0.5000 [1 per cell]  6 La 3.25-3.32


# Sm3CdHg7

Sm3CdHg7 after structural relaxation (GGA-PBE, Alexandria).

Its total energy is -1.7449 eV per atom. For the energy relative to the elements, the calculation gives -0.18 eV per atom. Its volume is 31.47 Å³ per atom.

a b c (Å): 3.8353 32.3071 11.1759
angles (deg): 90.00 90.00 90.00
Closest atoms and distances in Å follow each position.
Space group Cmcm (No. 63)
Unique sites:
Sm 0.0000 0.0633 0.0688 [8 per cell]  8 Hg 3.18-3.27
Sm 0.0000 0.1789 0.7500 [4 per cell]  8 Hg 3.15-3.26, 1 Cd 3.28
Cd 0.0000 0.0773 0.7500 [4 per cell]  8 Hg 3.09-3.23, 1 Sm 3.28
Hg 0.0000 0.2717 0.0784 [8 per cell]  3 Hg 2.95-3.26, 2 Sm 3.15
Hg 0.0000 0.3727 0.0672 [8 per cell]  4 Sm 3.20-3.26, 2 Cd 3.23, 2 Hg 3.26-3.58
Hg 0.0000 0.3891 0.7500 [4 per cell]  4 Sm 3.18
Hg 0.0000 0.4838 0.1240 [8 per cell]  2 Hg 2.82-2.96, 2 Cd 3.09


# Ba5Sr2CaCd2

Ba5Sr2CaCd2 after structural relaxation (GGA-PBE, Alexandria).

Its total energy is -1.7609 eV per atom. For the energy relative to the elements, the calculation gives -0.08 eV per atom. Its volume is 51.63 Å³ per atom.

a b c (Å): 14.8017 14.8017 4.7128
angles (deg): 90.00 90.00 90.00
Closest atoms and distances in Å follow each position.
Space group P4/mbm (No. 127)
Unique sites:
Ba 0.0000 0.5000 0.0000 [2 per cell]  4 Cd 3.60
Ba 0.0488 0.2128 0.0000 [8 per cell]  2 Cd 3.52
Sr 0.1924 0.6924 0.5000 [4 per cell]  1 Cd 3.72
Ca 0.0000 0.0000 0.5000 [2 per cell]  8 Ba 4.00
Cd 0.1298 0.3702 0.5000 [4 per cell]  6 Ba 3.52-3.60, 1 Sr 3.72


# Na2IrPdS4

Na2IrPdS4 after structural relaxation (GGA-PBE, Alexandria).

Its total energy is -4.7529 eV per atom. For the formation energy without anion corrections, the calculation gives -0.6027 eV/atom. Its volume is 18.79 Å³ per atom.

a b c (Å): 6.5558 3.6512 6.7196
angles (deg): 90.00 110.84 90.00
Closest atoms and distances in Å follow each position.
Space group P2/m (No. 10)
Unique sites:
Na 0.0000 0.0000 0.0000 [1 per cell]  6 S 2.79-2.88
Na 0.5000 0.5000 0.0000 [1 per cell]  6 S 2.87-3.10
Ir 0.0000 0.5000 0.5000 [1 per cell]  6 S 2.39-2.40
Pd 0.5000 0.0000 0.5000 [1 per cell]  6 S 2.43-2.71
S 0.2087 0.0000 0.7028 [2 per cell]  2 Ir 2.39
S 0.2601 0.5000 0.3231 [2 per cell]  1 Ir 2.40, 2 Pd 2.43


# ScAl2I8

ScAl2I8 after structural relaxation (GGA-PBE, Alexandria).

Its total energy is -3.1562 eV per atom. For the formation energy without anion corrections, the calculation gives -0.7728 eV/atom. Its volume is 49.02 Å³ per atom.

a b c (Å): 13.7735 11.1414 7.0788
angles (deg): 90.00 96.87 90.00
Closest atoms and distances in Å follow each position.
Space group C2/m (No. 12)
Unique sites:
Sc 0.0000 0.0000 0.0000 [2 per cell]  6 I 2.95-3.03
Al 0.1919 0.0000 0.6471 [4 per cell]  4 I 2.52-2.63
I 0.0943 0.1782 0.7738 [8 per cell]  1 Al 2.62
I 0.1294 0.5000 0.2240 [4 per cell]  1 Al 2.52
I 0.1865 0.0000 0.2744 [4 per cell]  1 Al 2.63


# Pr3ScO6

Pr3ScO6 after structural relaxation (GGA-PBE, Alexandria).

Its total energy is -8.3864 eV per atom. For the formation energy without anion corrections, the calculation gives -3.3445 eV/atom. The calculation puts the relative energy among the computed polymorphs at 0.0325 eV/atom. Its volume is 15.99 Å³ per atom.

a b c (Å): 9.3944 11.7421 5.7999
angles (deg): 90.00 90.00 90.00
Closest atoms and distances in Å follow each position.
Space group Cmc2_1 (No. 36)
Unique sites:
Pr 0.0000 0.1033 0.0000 [4 per cell]  7 O 2.42-2.61
Pr 0.1937 0.3930 0.0439 [8 per cell]  5 O 2.36-2.52
Sc 0.0000 0.3121 0.5725 [4 per cell]  4 O 1.98-2.03
O 0.0000 0.2828 0.2271 [4 per cell]  1 Sc 2.03
O 0.0000 0.4627 0.7387 [4 per cell]  1 Sc 2.01
O 0.1555 0.2387 0.7479 [8 per cell]  1 Sc 1.98
O 0.1601 0.0134 0.2725 [8 per cell]  4 Pr 2.36-2.43